# Y2ZrTc, optimized geometry, DFT PBE-GGA
# density: 6641 kg/m³
data_Y2ZrTc
_symmetry_space_group_name_H-M 'C 1 2/m 1'
_symmetry_Int_Tables_number 12
_cell_length_a 6.135
_cell_length_b 9.802
_cell_length_c 3.192
_cell_angle_alpha 90.00
_cell_angle_beta 106.98
_cell_angle_gamma 90.00
loop_
_symmetry_equiv_pos_as_xyz
'x,y,z'
'-x,-y,-z'
'-x,y,-z'
'x,-y,z'
'x+1/2,y+1/2,z'
'-x+1/2,-y+1/2,-z'
'-x+1/2,y+1/2,-z'
'x+1/2,-y+1/2,z'
loop_
_atom_site_label
_atom_site_type_symbol
_atom_site_fract_x
_atom_site_fract_y
_atom_site_fract_z
Y1 Y 0.250 0.250 0.000
Zr1 Zr 0.000 0.000 0.500
Tc1 Tc 0.000 0.500 0.500

***

# Y2ZrTc, optimized geometry, DFT PBE-GGA
# density: 5967 kg/m³
data_Y2ZrTc
_symmetry_space_group_name_H-M 'I -4 2 d'
_symmetry_Int_Tables_number 122
_symmetry_space_group_name_Hall 'I -4 2bw'
_cell_length_a 8.313
_cell_length_b 8.313
_cell_length_c 5.912
_cell_angle_alpha 90.00
_cell_angle_beta 90.00
_cell_angle_gamma 90.00
loop_
_atom_site_label
_atom_site_type_symbol
_atom_site_fract_x
_atom_site_fract_y
_atom_site_fract_z
Y1 Y 0.188 0.250 0.125
Zr1 Zr 0.000 0.000 0.500
Tc1 Tc 0.000 0.000 0.000

***

# Y2ZrTc, optimized geometry, DFT PBE-GGA
# density: 6505 kg/m³
data_Y2ZrTc
_symmetry_space_group_name_H-M 'P 1 2/m 1'
_symmetry_Int_Tables_number 10
_cell_length_a 3.336
_cell_length_b 4.732
_cell_length_c 6.139
_cell_angle_alpha 90.00
_cell_angle_beta 104.81
_cell_angle_gamma 90.00
loop_
_symmetry_equiv_pos_as_xyz
'x,y,z'
'-x,-y,-z'
'-x,y,-z'
'x,-y,z'
loop_
_atom_site_label
_atom_site_type_symbol
_atom_site_fract_x
_atom_site_fract_y
_atom_site_fract_z
Y1 Y 0.107 0.000 0.270
Zr1 Zr 0.500 0.500 0.000
Tc1 Tc 0.500 0.500 0.500

***

# Y2ZrTc, optimized geometry, DFT PBE-GGA
# density: 6353 kg/m³
data_Y2ZrTc
_symmetry_space_group_name_H-M 'C m m m'
_symmetry_Int_Tables_number 65
_symmetry_space_group_name_Hall '-C 2 2'
_cell_length_a 3.548
_cell_length_b 5.384
_cell_length_c 10.043
_cell_angle_alpha 90.00
_cell_angle_beta 90.00
_cell_angle_gamma 90.00
loop_
_atom_site_label
_atom_site_type_symbol
_atom_site_fract_x
_atom_site_fract_y
_atom_site_fract_z
Y1 Y 0.000 0.000 0.211
Zr1 Zr 0.000 0.500 0.500
Tc1 Tc 0.000 0.500 0.000

***

# Y2ZrTc, optimized geometry, DFT PBE-GGA
# density: 6129 kg/m³
data_Y2ZrTc
_symmetry_space_group_name_H-M 'P 4 m m'
_symmetry_Int_Tables_number 99
_cell_length_a 3.424
_cell_length_b 3.424
_cell_length_c 8.481
_cell_angle_alpha 90.00
_cell_angle_beta 90.00
_cell_angle_gamma 90.00
loop_
_symmetry_equiv_pos_as_xyz
'x,y,z'
'-y,x,z'
'-x,-y,z'
'y,-x,z'
'-x,y,z'
'y,x,z'
'x,-y,z'
'-y,-x,z'
loop_
_atom_site_label
_atom_site_type_symbol
_atom_site_fract_x
_atom_site_fract_y
_atom_site_fract_z
Y1 Y 0.000 0.000 0.000
Y2 Y 0.500 0.500 0.342
Zr1 Zr 0.000 0.000 0.622
Tc1 Tc 0.500 0.500 0.787

***

# Y2ZrTc, optimized geometry, DFT PBE-GGA
# density: 6665 kg/m³
data_Y2ZrTc
_symmetry_space_group_name_H-M 'I -4 m 2'
_symmetry_Int_Tables_number 119
_symmetry_space_group_name_Hall 'I -4 -2'
_cell_length_a 4.974
_cell_length_b 4.974
_cell_length_c 7.393
_cell_angle_alpha 90.00
_cell_angle_beta 90.00
_cell_angle_gamma 90.00
loop_
_atom_site_label
_atom_site_type_symbol
_atom_site_fract_x
_atom_site_fract_y
_atom_site_fract_z
Y1 Y 0.000 0.000 0.000
Y2 Y 0.000 0.500 0.250
Zr1 Zr 0.000 0.500 0.750
Tc1 Tc 0.000 0.000 0.500

***

Number 1: ΔE_f 332.6 meV per atom, E_tot -7.628 eV/atom. Number 2: ΔE_f 501.8 meV per atom, E_tot -7.459 eV/atom. Number 3: ΔE_f 216.3 meV per atom, E_tot -7.744 eV/atom. Number 4: ΔE_f 261.8 meV per atom, E_tot -7.699 eV/atom. Number 5: ΔE_f -71.4 meV per atom, E_tot -8.032 eV/atom. Number 6: ΔE_f 203.8 meV per atom, E_tot -7.757 eV/atom.